Entry 1:
The following is a DFT calculation (GGA-PBE) of an optimized crystal structure of SrNd2Lu.

The structure in extended XYZ format:
```
4
Lattice="5.226 0.000 0.000 0.000 5.280 0.000 0.000 0.000 5.280" Properties=species:S:1:pos:R:3 pbc="T T T"
Lu 2.613 2.640 2.640
Nd 0.000 2.640 0.000
Nd 0.000 0.000 2.640
Sr 2.613 0.000 0.000
```

Output
E_form = 0.18 eV per atom
energy relative to the lowest polymorph listed for this composition = 7.9 kJ/mol of atoms
magnetic moment = 0.00 μB per formula unit
calculated volume = 146 Å³ per cell
crystal system = tetragonal
space group = P4/mmm, No. 123


Entry 2:
The following is a DFT calculation (GGA-PBE) of an optimized crystal structure of GaPHIrPtS.

The structure in extended XYZ format:
```
12
Lattice="6.261 0.000 0.013 0.000 3.060 0.000 -1.337 0.000 9.970" Properties=species:S:1:pos:R:3 pbc="T T T"
S 0.682 0.000 7.657
S 1.351 1.530 2.672
Ir 2.151 0.000 4.228
Ir 1.483 1.530 9.214
Ga 3.627 1.530 5.816
Ga 4.295 0.000 0.831
Pt -0.549 1.530 4.270
Pt -1.217 0.000 9.255
P 3.625 1.530 8.288
P 4.293 0.000 3.303
H 0.494 0.000 5.096
H 1.162 1.530 0.111
```

Output
energy relative to the lowest polymorph listed for this composition = 17.7 kJ/mol of atoms
magnetic moment = 0.00 μB per formula unit
calculated volume = 191 Å³ per cell
crystal system = monoclinic
space group = Cm, No. 8


Entry 3:
The following is a DFT calculation (GGA-PBE) of an optimized crystal structure of TaCl4F.

The structure in extended XYZ format:
```
24
Lattice="10.298 -0.042 0.000 -6.683 7.835 0.000 -1.807 -3.896 9.359" Properties=species:S:1:pos:R:3 pbc="T T T"
Cl 2.309 1.237 7.016
Cl -3.007 -0.914 7.786
Cl -0.826 0.583 4.669
Cl -0.208 2.721 2.111
Cl 0.404 -2.297 7.249
Cl 1.261 6.458 2.343
Cl -1.109 2.624 8.026
Cl -0.835 4.849 5.487
Cl 4.528 4.745 1.333
Cl 2.786 3.642 4.691
Cl -2.524 5.706 0.995
Cl 2.433 -1.402 3.873
Cl 6.889 1.813 2.798
Cl 4.179 -2.138 8.364
Cl -4.873 2.534 6.562
Cl 3.052 1.011 1.574
Ta -4.475 6.686 1.624
Ta 6.187 -2.995 7.735
Ta -1.426 0.786 2.487
Ta 3.328 3.316 6.873
F 1.439 4.045 7.466
F 8.588 0.773 0.397
F -6.764 3.160 8.962
F 0.352 -0.185 1.894
```

Output
uncorrected energy = -5.260 eV per atom
magnetic moment = 0.00 μB per formula unit
calculated volume = 753 Å³ per cell
crystal system = tetragonal
space group = I-4, No. 82


Entry 4:
The following is a DFT calculation (GGA-PBE) of an optimized crystal structure of ZrBePd6.

The structure in extended XYZ format:
```
8
Lattice="5.286 -1.076 0.368 -0.676 5.352 0.368 1.733 1.608 4.863" Properties=species:S:1:pos:R:3 pbc="T T T"
Pd 5.358 1.706 4.002
Pd 4.240 0.669 1.597
Pd 0.986 4.178 1.597
Pd 4.814 4.465 4.447
Pd 1.529 1.418 1.152
Pd 2.103 5.214 4.002
Zr 3.172 2.942 2.799
Be 0.000 0.000 0.000
```

Output
E_form = -0.27 eV per atom
magnetic moment = 0.00 μB per formula unit
calculated volume = 126 Å³ per cell
crystal system = trigonal
space group = R-3m, No. 166